# LaCrOs2 (PBE, relaxed)
data_LaCrOs2
_chemical_formula_sum 'La2 Cr2 Os4'
_cell_length_a 4.344
_cell_length_b 4.344
_cell_length_c 7.515
_cell_angle_alpha 90.00
_cell_angle_beta 90.00
_cell_angle_gamma 90.00
_space_group_name_H-M_alt 'I 4/m m m'
_space_group_IT_number 139
_space_group_name_Hall '-I 4 2'
loop_
_atom_site_label
_atom_site_fract_x
_atom_site_fract_y
_atom_site_fract_z
_atom_site_occupancy
La1 0.000 0.000 0.000 1
Cr1 0.000 0.000 0.500 1
Os1 0.000 0.500 0.250 1
# Total magnetization ... 4.2 μB per cell
# Crystal system ... tetragonal
# Formation energy ... 0.656 eV/atom
# Energy relative to the lowest polymorph listed for this composition ... 0.403 eV per atom